Entry 1:
A plane-wave DFT calculation with GGA-PBE was carried out for a geometry-optimized Zr3HgRu structure.

Cell: 5.1596 5.1596 5.1596 Å, 90.00 90.00 90.00°
Last column: nearest neighbours and their distance in Å.
Positions (direct):
Zr 0.0000 0.0000 0.5000  2 Hg 2.58
Zr 0.5000 0.0000 0.0000  2 Hg 2.58
Zr 0.0000 0.5000 0.0000  2 Hg 2.58
Ru 0.5000 0.5000 0.5000  12 Zr 3.65
Hg 0.0000 0.0000 0.0000  6 Zr 2.58

## Properties
SG   Pm-3m, No. 221
Polymorph energy (0 for the lowest one)   1234.7 meV/atom
Total energy   -27.8 eV for the cell shown
Energy of formation   1.4867 eV/atom


Entry 2:
A plane-wave DFT calculation with GGA-PBE was carried out for a geometry-optimized ZrHg2Ru structure.

Cell: 3.0916 4.3295 5.7262 Å, 90.00 90.00 90.00°
Last column: nearest neighbours and their distance in Å.
Positions (direct):
Hg 0.0000 0.0000 0.4901  2 Hg 2.75-2.98, 4 Ru 2.99, 4 Zr 3.05
Hg 0.0000 0.0000 0.0099  2 Hg 2.75-2.98, 4 Ru 2.99, 4 Zr 3.05
Zr 0.5000 0.5000 0.7500  2 Ru 2.86, 8 Hg 3.05, 2 Zr 3.09
Ru 0.5000 0.5000 0.2500  2 Zr 2.86, 8 Hg 2.99, 2 Ru 3.09

## Properties
SG   Pmmm, No. 47
Polymorph energy (0 for the lowest one)   210.7 meV/atom
Total energy   -17.9 eV for the cell shown
Energy of formation   0.1428 eV/atom


Entry 3:
A plane-wave DFT calculation with GGA-PBE was carried out for a geometry-optimized ZrHgRu4 structure.

Cell: 5.2057 5.2057 5.2057 Å, 60.00 60.00 60.00°
Last column: nearest neighbours and their distance in Å.
Positions (direct):
Ru 0.3746 0.8761 0.3746  6 Ru 2.60-2.61
Ru 0.3746 0.3746 0.8761  6 Ru 2.60-2.61
Ru 0.3746 0.3746 0.3746  6 Ru 2.60-2.61
Ru 0.8761 0.3746 0.3746  6 Ru 2.60-2.61
Zr 0.7500 0.7500 0.7500  12 Ru 3.05, 4 Hg 3.19
Hg 0.0000 0.0000 0.0000  12 Ru 3.05, 4 Zr 3.19

## Properties
SG   F-43m, No. 216
Total energy   -45.5 eV for the cell shown
Energy of formation   0.0727 eV/atom


Entry 4:
A plane-wave DFT calculation with GGA-PBE was carried out for a geometry-optimized ZrHg4Ru structure.

Cell: 5.5958 5.5958 5.5958 Å, 60.00 60.00 60.00°
Last column: nearest neighbours and their distance in Å.
Positions (direct):
Hg 0.3753 0.3753 0.3753  6 Hg 2.79-2.80
Hg 0.3753 0.8742 0.3753  6 Hg 2.79-2.80
Hg 0.3753 0.3753 0.8742  6 Hg 2.79-2.80
Hg 0.8742 0.3753 0.3753  6 Hg 2.79-2.80
Ru 0.7500 0.7500 0.7500  12 Hg 3.28, 4 Zr 3.43
Zr 0.0000 0.0000 0.0000  12 Hg 3.28, 4 Ru 3.43

## Properties
SG   F-43m, No. 216
Total energy   -16.4 eV for the cell shown
Energy of formation   0.4318 eV/atom


Entry 5:
A plane-wave DFT calculation with GGA-PBE was carried out for a geometry-optimized ZrHg2Ru structure.

Cell: 6.5747 5.0517 3.2757 Å, 90.10 59.95 119.21°
Last column: nearest neighbours and their distance in Å.
Positions (direct):
Hg 0.5000 0.0000 0.5000  2 Hg 2.85, 4 Zr 3.01, 4 Ru 3.01
Hg 0.0000 0.0000 0.0000  2 Hg 2.85, 4 Ru 3.01, 4 Zr 3.01
Ru 0.0000 0.5000 0.5000  2 Zr 2.85, 8 Hg 3.01
Zr 0.5000 0.5000 0.0000  2 Ru 2.85, 8 Hg 3.01

## Properties
SG   C2/m, No. 12
Polymorph energy (0 for the lowest one)   277.9 meV/atom
Total energy   -17.6 eV for the cell shown
Energy of formation   0.2100 eV/atom


Entry 6:
A plane-wave DFT calculation with GGA-PBE was carried out for a geometry-optimized ZrHg2Ru structure.

Cell: 7.9197 7.9197 6.2217 Å, 50.47 50.47 90.00°
Last column: nearest neighbours and their distance in Å.
Positions (direct):
Zr 0.2500 0.7500 0.5000  2 Ru 2.71
Zr 0.5000 0.5000 0.0000  2 Ru 2.71
Ru 0.7500 0.2500 0.5000  2 Zr 2.71, 4 Hg 2.73
Ru 0.0000 0.0000 0.0000  2 Zr 2.71, 4 Hg 2.73
Hg 0.0962 0.6250 0.2500  2 Ru 2.73, 2 Hg 2.75, 2 Zr 3.04
Hg 0.6538 0.1250 0.2500  2 Ru 2.73, 2 Hg 2.75, 2 Zr 3.04
Hg 0.3750 0.3462 0.7500  2 Ru 2.73, 2 Hg 2.75, 2 Zr 3.04
Hg 0.8750 0.9038 0.7500  2 Ru 2.73, 2 Hg 2.75, 2 Zr 3.04

## Properties
SG   I-42d, No. 122
Polymorph energy (0 for the lowest one)   501.6 meV/atom
Total energy   -33.4 eV for the cell shown
Energy of formation   0.4337 eV/atom


Entry 7:
A plane-wave DFT calculation with GGA-PBE was carried out for a geometry-optimized ZrHg2Ru structure.

Cell: 5.3422 5.3422 5.3422 Å, 134.61 134.55 66.19°
Last column: nearest neighbours and their distance in Å.
Positions (direct):
Zr 0.2500 0.7500 0.5000  4 Ru 2.92, 8 Hg 3.04
Ru 0.7500 0.2500 0.5000  4 Zr 2.92, 8 Hg 3.04-3.05
Hg 0.5002 0.5002 0.0000  4 Hg 2.92, 4 Ru 3.04-3.05, 4 Zr 3.04
Hg 0.9998 0.9998 0.0000  4 Hg 2.92, 4 Ru 3.04-3.05, 4 Zr 3.04

## Properties
SG   I4/mmm, No. 139
Polymorph energy (0 for the lowest one)   61.7 meV/atom
Total energy   -18.5 eV for the cell shown
Energy of formation   -0.0062 eV/atom


Entry 8:
A plane-wave DFT calculation with GGA-PBE was carried out for a geometry-optimized ZrHg2Ru structure.

Cell: 4.7627 4.7627 4.7627 Å, 60.00 60.00 60.00°
Last column: nearest neighbours and their distance in Å.
Positions (direct):
Ru 0.5000 0.5000 0.5000  8 Hg 2.92
Hg 0.7500 0.7500 0.7500  4 Zr 2.92, 4 Ru 2.92
Hg 0.2500 0.2500 0.2500  4 Ru 2.92, 4 Zr 2.92
Zr 0.0000 0.0000 0.0000  8 Hg 2.92

## Properties
SG   Fm-3m, No. 225
Polymorph energy (0 for the lowest one)   219.3 meV/atom
Total energy   -17.8 eV for the cell shown
Energy of formation   0.1514 eV/atom


Entry 9:
A plane-wave DFT calculation with GGA-PBE was carried out for a geometry-optimized ZrHg2Ru structure.

Cell: 4.7982 3.0345 5.5965 Å, 73.43 90.00 90.00°
Last column: nearest neighbours and their distance in Å.
Positions (direct):
Ru 0.5000 0.2500 0.2500  2 Zr 2.78, 4 Hg 2.84, 2 Ru 3.03
Hg 0.0000 0.0957 0.0134  5 Hg 2.83-3.05, 2 Ru 2.84, 2 Zr 3.15
Hg 0.0000 0.4043 0.4866  5 Hg 2.83-3.05, 2 Ru 2.84, 2 Zr 3.15
Zr 0.5000 0.7500 0.7500  2 Ru 2.78, 2 Zr 3.03

## Properties
SG   P2/m, No. 10
Polymorph energy (0 for the lowest one)   226.4 meV/atom
Total energy   -17.8 eV for the cell shown
Energy of formation   0.1585 eV/atom


Entry 10:
A plane-wave DFT calculation with GGA-PBE was carried out for a geometry-optimized ZrHg2Ru2 structure.

Cell: 3.9796 3.9796 6.9221 Å, 73.29 73.29 90.00°
Last column: nearest neighbours and their distance in Å.
Positions (direct):
Ru 0.4077 0.4077 0.1846  1 Ru 2.33
Ru 0.5923 0.5923 0.8154  1 Ru 2.33
Hg 0.7500 0.2500 0.5000  4 Hg 2.81, 4 Ru 2.82
Hg 0.2500 0.7500 0.5000  4 Hg 2.81, 4 Ru 2.82
Zr 0.0000 0.0000 0.0000  8 Ru 3.05

## Properties
SG   I4/mmm, No. 139
Polymorph energy (0 for the lowest one)   229.8 meV/atom
Total energy   -25.5 eV for the cell shown
Energy of formation   0.4465 eV/atom


Entry 11:
A plane-wave DFT calculation with GGA-PBE was carried out for a geometry-optimized ZrHg2Ru2 structure.

Cell: 6.7921 6.7921 4.1589 Å, 90.00 90.00 90.00°
Last column: nearest neighbours and their distance in Å.
Positions (direct):
Hg 0.1690 0.6690 0.5000  6 Ru 2.83-2.92
Hg 0.8310 0.3310 0.5000  6 Ru 2.83-2.92
Hg 0.3310 0.1690 0.5000  6 Ru 2.83-2.92
Hg 0.6690 0.8310 0.5000  6 Ru 2.83-2.92
Ru 0.8691 0.6309 0.0000  1 Ru 2.51, 2 Zr 2.66
Ru 0.1309 0.3691 0.0000  1 Ru 2.51, 2 Zr 2.66
Ru 0.6309 0.1309 0.0000  1 Ru 2.51, 2 Zr 2.66
Ru 0.3691 0.8691 0.0000  1 Ru 2.51, 2 Zr 2.66
Zr 0.0000 0.0000 0.0000  4 Ru 2.66
Zr 0.5000 0.5000 0.0000  4 Ru 2.66

## Properties
SG   P4/mbm, No. 127
Polymorph energy (0 for the lowest one)   0.0 meV/atom
Total energy   -53.2 eV for the cell shown
Energy of formation   0.2167 eV/atom


Entry 12:
A plane-wave DFT calculation with GGA-PBE was carried out for a geometry-optimized ZrHg2Ru structure.

Cell: 5.3115 5.3115 4.7212 Å, 75.36 75.36 37.22°
Last column: nearest neighbours and their distance in Å.
Positions (direct):
Hg 0.4919 0.4919 0.5109  4 Hg 2.86-2.96, 3 Ru 2.93-3.10, 3 Zr 3.01-3.07
Hg 0.0081 0.0081 0.9891  4 Hg 2.86-2.96, 3 Ru 2.93-3.10, 3 Zr 3.01-3.07
Zr 0.2500 0.2500 0.2500  4 Ru 2.91, 6 Hg 3.01-3.07
Ru 0.7500 0.7500 0.7500  4 Zr 2.91, 6 Hg 2.93-3.10

## Properties
SG   C2/m, No. 12
Polymorph energy (0 for the lowest one)   124.7 meV/atom
Total energy   -18.2 eV for the cell shown
Energy of formation   0.0568 eV/atom